# 1
The following is a GGA-PBEsol calculation of an optimized crystal structure of RbBaF2, from Alexandria via LeMat-Bulk.

Lattice parameters (Å, degrees): 4.3467 4.3467 22.3616 90.00 90.00 120.00
Space group R-3m (No. 166, hexagonal axes)
Symmetry-distinct sites (fractional):
1 Rb 0.0000 0.0000 0.0000 (multiplicity 3)
2 Ba 0.0000 0.0000 0.5000 (multiplicity 3)
3 F 0.0000 0.0000 0.1262 (multiplicity 6)

Magnetic moment = 0.0 Bohr magnetons per cell
Uncorrected formation energy = -2759 meV/atom
Polymorph energy (0 for the lowest one) = 0 meV/atom
DOS at the Fermi energy = 0.9 states/eV/f.u.



# 2
The following is a GGA-PBEsol calculation of an optimized crystal structure of RbBaRu2F, from Alexandria via LeMat-Bulk.

Lattice parameters (Å, degrees): 4.450 4.450 5.120 90.00 90.00 90.00
Space group P4/mmm (No. 123)
Symmetry-distinct sites (fractional):
1 Rb 0.000 0.000 0.000 (multiplicity 1)
2 Ba 0.500 0.500 0.000 (multiplicity 1)
3 Ru 0.000 0.500 0.500 (multiplicity 2)
4 F 0.000 0.000 0.500 (multiplicity 1)

Magnetic moment = 1.0 Bohr magnetons per cell
Uncorrected formation energy = 662 meV/atom
DOS at the Fermi energy = 5.8 states/eV/f.u.



# 3
The following is a GGA-PBEsol calculation of an optimized crystal structure of Rb2BaTaF, from Alexandria via LeMat-Bulk.

Lattice parameters (Å, degrees): 5.139 5.139 7.538 90.00 90.00 90.00
Space group P4/mmm (No. 123)
Symmetry-distinct sites (fractional):
1 Rb 0.000 0.500 0.000 (multiplicity 2)
2 Ba 0.000 0.000 0.500 (multiplicity 1)
3 Ta 0.500 0.500 0.500 (multiplicity 1)
4 F 0.500 0.500 0.000 (multiplicity 1)

Magnetic moment = 4.6 Bohr magnetons per cell
Uncorrected formation energy = 229 meV/atom
DOS at the Fermi energy = 7.7 states/eV/f.u.



# 4
The following is a GGA-PBEsol calculation of an optimized crystal structure of Ba3ReF, from Alexandria via LeMat-Bulk.

Lattice parameters (Å, degrees): 5.255 5.255 5.255 90.00 90.00 90.00
Space group Pm-3m (No. 221)
Symmetry-distinct sites (fractional):
1 Ba 0.000 0.000 0.500 (multiplicity 3)
2 Re 0.500 0.500 0.500 (multiplicity 1)
3 F 0.000 0.000 0.000 (multiplicity 1)

Magnetic moment = 1.2 Bohr magnetons per cell
Uncorrected formation energy = -251 meV/atom
DOS at the Fermi energy = 4.7 states/eV/f.u.



# 5
The following is a GGA-PBEsol calculation of an optimized crystal structure of BaRhF3, from Alexandria via LeMat-Bulk.

Lattice parameters (Å, degrees): 4.324 4.324 4.324 90.00 90.00 90.00
Space group Pm-3m (No. 221)
Symmetry-distinct sites (fractional):
1 Ba 0.000 0.000 0.000 (multiplicity 1)
2 Rh 0.500 0.500 0.500 (multiplicity 1)
3 F 0.000 0.500 0.500 (multiplicity 3)

Magnetic moment = 0.0 Bohr magnetons per cell
Uncorrected formation energy = -2007 meV/atom
Polymorph energy (0 for the lowest one) = 0 meV/atom
DOS at the Fermi energy = 1.6 states/eV/f.u.



# 6
The following is a GGA-PBEsol calculation of an optimized crystal structure of BaRhF6, from Alexandria via LeMat-Bulk.

Lattice parameters (Å, degrees): 8.931 8.931 8.931 90.00 90.00 90.00
Space group Fm-3m (No. 225)
Symmetry-distinct sites (fractional):
1 Ba 0.000 0.000 0.000 (multiplicity 4)
2 Rh 0.000 0.000 0.500 (multiplicity 4)
3 F 0.000 0.000 0.286 (multiplicity 24)

Magnetic moment = 4.0 Bohr magnetons per cell
Uncorrected formation energy = -2431 meV/atom
DOS at the Fermi energy = 9.9 states/eV/f.u.



# 7
The following is a GGA-PBEsol calculation of an optimized crystal structure of BaRhF3, from Alexandria via LeMat-Bulk.

Lattice parameters (Å, degrees): 4.982 4.982 4.982 90.00 90.00 90.00
Space group Pm-3m (No. 221)
Symmetry-distinct sites (fractional):
1 Ba 0.000 0.000 0.000 (multiplicity 1)
2 Rh 0.500 0.500 0.500 (multiplicity 1)
3 F 0.000 0.000 0.500 (multiplicity 3)

Magnetic moment = 2.0 Bohr magnetons per cell
Uncorrected formation energy = -1444 meV/atom
Polymorph energy (0 for the lowest one) = 563 meV/atom
DOS at the Fermi energy = 0.8 states/eV/f.u.



# 8
The following is a GGA-PBEsol calculation of an optimized crystal structure of BaRhF6, from Alexandria via LeMat-Bulk.

Lattice parameters (Å, degrees): 7.4452 7.4452 7.1544 90.00 90.00 120.00
Space group R-3m (No. 166, hexagonal axes)
Symmetry-distinct sites (fractional):
1 Ba 0.0000 0.0000 0.0000 (multiplicity 3)
2 Rh 0.0000 0.0000 0.5000 (multiplicity 3)
3 F 0.0979 0.5490 0.3298 (multiplicity 18)

Magnetic moment = 3.1 Bohr magnetons per cell
Uncorrected formation energy = -2491 meV/atom
DOS at the Fermi energy = 8.8 states/eV/f.u.



Among the records above, which one has the lowest DOS at the Fermi energy?
number 7



Copy entry 3 word for word.
The following is a GGA-PBEsol calculation of an optimized crystal structure of Rb2BaTaF, from Alexandria via LeMat-Bulk.

Lattice parameters (Å, degrees): 5.139 5.139 7.538 90.00 90.00 90.00
Space group P4/mmm (No. 123)
Symmetry-distinct sites (fractional):
1 Rb 0.000 0.500 0.000 (multiplicity 2)
2 Ba 0.000 0.000 0.500 (multiplicity 1)
3 Ta 0.500 0.500 0.500 (multiplicity 1)
4 F 0.500 0.500 0.000 (multiplicity 1)

Magnetic moment = 4.6 Bohr magnetons per cell
Uncorrected formation energy = 229 meV/atom
DOS at the Fermi energy = 7.7 states/eV/f.u.